No. 1
A plane-wave DFT calculation with PBE was carried out for a relaxed structure of TcOsRh3.

Output
The value obtained for the formation energy is -8 meV/atom. The excess energy over the best structure of this formula in the dataset comes out at 0 meV per atom.

POSCAR file:
```
TcOsRh3
1.0
5.2394 0.2453 -1.4598
-1.7773 4.2949 -0.6864
-2.3505 0.0821 6.8136
Rh Tc Os
6 2 2
Direct
0.0515 0.0947 0.2040 Rh
0.9485 0.9053 0.7960 Rh
0.3541 0.7027 0.4050 Rh
0.6459 0.2973 0.5950 Rh
0.7447 0.4930 0.0014 Rh
0.2553 0.5070 0.9986 Rh
0.1515 0.2964 0.6022 Tc
0.8485 0.7036 0.3978 Tc
0.5551 0.1012 0.2012 Os
0.4449 0.8988 0.7988 Os
```


No. 2
A plane-wave DFT calculation with PBE was carried out for a relaxed structure of Tc2OsRh2.

Output
The value obtained for the formation energy is 631 meV/atom. The excess energy over the best structure of this formula in the dataset comes out at 323 meV per atom.

POSCAR file:
```
Tc2OsRh2
1.0
-5.8891 0.5488 2.5235
-4.3796 4.7047 -0.1894
4.1167 -3.6606 -3.3172
Os Rh Tc
1 2 2
Direct
0.0000 0.0000 0.0000 Os
0.7500 0.2500 0.5000 Rh
0.2500 0.7500 0.5000 Rh
0.5960 0.5960 0.0000 Tc
0.4040 0.4040 0.0000 Tc
```


No. 3
A plane-wave DFT calculation with PBE was carried out for a relaxed structure of Tc2OsRh.

Output
The value obtained for the formation energy is 14 meV/atom. The excess energy over the best structure of this formula in the dataset comes out at 143 meV per atom.

POSCAR file:
```
Tc2OsRh
1.0
9.0752 -0.0082 -0.0048
8.6676 2.6890 -0.0048
8.6676 1.3096 2.3486
Tc Rh Os
2 1 1
Direct
0.0001 0.0001 0.0001 Tc
0.4999 0.4999 0.4999 Tc
0.7500 0.7500 0.7500 Rh
0.2500 0.2500 0.2500 Os
```


No. 4
A plane-wave DFT calculation with PBE was carried out for a relaxed structure of TcOs2Rh.

Output
The value obtained for the formation energy is 47 meV/atom. The excess energy over the best structure of this formula in the dataset comes out at 9 meV per atom.

POSCAR file:
```
TcOs2Rh
1.0
4.7222 -0.0011 0.0071
3.9405 2.6022 0.0071
0.7819 0.2348 4.6682
Rh Os Tc
1 2 1
Direct
0.7500 0.7500 0.7500 Rh
0.9972 0.9972 0.0053 Os
0.5028 0.5028 0.4947 Os
0.2500 0.2500 0.2500 Tc
```


No. 5
A plane-wave DFT calculation with PBE was carried out for a relaxed structure of Tc2Os2Rh.

Output
The value obtained for the formation energy is 207 meV/atom. The excess energy over the best structure of this formula in the dataset comes out at 0 meV per atom.

POSCAR file:
```
Tc2Os2Rh
1.0
-6.4064 1.6937 -3.2986
-3.6241 -4.2529 4.8548
-0.2948 2.1860 1.6949
Tc Os Rh
4 4 2
Direct
0.8308 0.3308 0.5000 Tc
0.1692 0.6692 0.5000 Tc
0.6692 0.8308 0.5000 Tc
0.3308 0.1692 0.5000 Tc
0.6263 0.1263 0.0000 Os
0.1263 0.3737 0.0000 Os
0.3737 0.8737 0.0000 Os
0.8737 0.6263 0.0000 Os
0.0000 0.0000 0.0000 Rh
0.5000 0.5000 0.0000 Rh
```


No. 6
A plane-wave DFT calculation with PBE was carried out for a relaxed structure of TcOs2Rh.

Output
The value obtained for the formation energy is 543 meV/atom. The excess energy over the best structure of this formula in the dataset comes out at 505 meV per atom.

POSCAR file:
```
TcOs2Rh
1.0
4.3238 -0.4994 0.2819
1.8805 -0.5673 3.8944
1.6823 -3.8808 1.0648
Os Rh Tc
2 1 1
Direct
0.2500 0.2500 0.2500 Os
0.7500 0.7500 0.7500 Os
0.5000 0.5000 0.5000 Rh
0.0000 0.0000 0.0000 Tc
```


No. 7
A plane-wave DFT calculation with PBE was carried out for a relaxed structure of TcOs2Rh.

Output
The value obtained for the formation energy is 547 meV/atom. The excess energy over the best structure of this formula in the dataset comes out at 510 meV per atom.

POSCAR file:
```
TcOs2Rh
1.0
4.3628 0.0000 0.0000
2.1814 3.7783 0.0000
2.1814 1.2594 3.5622
Os Tc Rh
2 1 1
Direct
0.0000 0.0000 0.0000 Os
0.2500 0.2500 0.2500 Os
0.7500 0.7500 0.7500 Tc
0.5000 0.5000 0.5000 Rh
```


No. 8
A plane-wave DFT calculation with PBE was carried out for a relaxed structure of TeOsRh2.

Output
The total energy is -27.4 eV per cell.

POSCAR file:
```
TeOsRh2
1.0
8.8818 -1.4647 0.0086
8.8818 1.4647 0.0086
8.6378 0.0000 2.5338
Os Rh Te
1 2 1
Direct
0.0000 0.0000 0.0000 Os
0.2539 0.2539 0.2539 Rh
0.7461 0.7461 0.7461 Rh
0.5000 0.5000 0.5000 Te
```


No. 9
A plane-wave DFT calculation with PBE was carried out for a relaxed structure of TeOs2Rh.

Output
The total energy is -29.7 eV per cell.

POSCAR file:
```
TeOs2Rh
1.0
8.6634 -1.4789 0.0037
8.6634 1.4789 0.0037
8.4099 0.0000 2.5526
Os Rh Te
2 1 1
Direct
0.2482 0.2482 0.2482 Os
0.7518 0.7518 0.7518 Os
0.5000 0.5000 0.5000 Rh
0.0000 0.0000 0.0000 Te
```


No. 10
A plane-wave DFT calculation with PBE was carried out for a relaxed structure of TeOs2Rh.

Output
The total energy is -29.4 eV per cell.

POSCAR file:
```
TeOs2Rh
1.0
0.4733 2.7447 -0.7159
-1.1579 -0.6670 2.5464
8.7177 -0.5037 3.8323
Te Os Rh
1 2 1
Direct
0.5000 0.5000 0.2566 Te
0.0000 0.0000 0.9774 Os
0.5000 0.5000 0.7534 Os
0.0000 0.0000 0.5127 Rh
```


No. 11
A plane-wave DFT calculation with PBE was carried out for a relaxed structure of TeOsRh2.

Output
The total energy is -28.0 eV per cell.

POSCAR file:
```
TeOsRh2
1.0
3.9213 0.0000 0.0000
0.0000 4.0889 0.0000
0.0000 0.0000 3.9192
Te Rh Os
1 2 1
Direct
0.5000 0.5000 0.0000 Te
0.0000 0.0000 0.0000 Rh
0.5000 0.0000 0.5000 Rh
0.0000 0.5000 0.5000 Os
```


No. 12
A plane-wave DFT calculation with PBE was carried out for a relaxed structure of TeOsRh2.

Output
The total energy is -27.7 eV per cell.

POSCAR file:
```
TeOsRh2
1.0
2.7511 -3.9519 0.0000
2.7511 3.9519 0.0000
0.0000 0.0000 2.9489
Rh Os Te
2 1 1
Direct
0.5000 0.0000 0.0000 Rh
0.0000 0.5000 0.0000 Rh
0.5000 0.5000 0.5000 Os
0.0000 0.0000 0.5000 Te
```


No. 13
A plane-wave DFT calculation with PBE was carried out for a relaxed structure of TeOsRh2.

Output
The total energy is -27.8 eV per cell.

POSCAR file:
```
TeOsRh2
1.0
-0.5282 2.8923 0.1817
-3.1912 -0.4500 -2.1135
-3.0493 -0.8576 4.7868
Rh Te Os
2 1 1
Direct
0.0000 0.0000 0.7265 Rh
0.0000 0.0000 0.2735 Rh
0.5000 0.5000 0.0000 Te
0.5000 0.5000 0.5000 Os
```


No. 14
A plane-wave DFT calculation with PBE was carried out for a relaxed structure of TeOsRh2.

Output
The total energy is -27.9 eV per cell.

POSCAR file:
```
TeOsRh2
1.0
2.8809 0.0000 0.0000
0.0000 2.8809 0.0000
0.0000 0.0000 8.0261
Os Rh Te
1 2 1
Direct
0.5000 0.5000 0.5000 Os
0.0000 0.0000 0.7201 Rh
0.0000 0.0000 0.2799 Rh
0.5000 0.5000 0.0000 Te
```


No. 15
A plane-wave DFT calculation with PBE was carried out for a relaxed structure of TeOsRh2.

Output
The total energy is -27.7 eV per cell.

POSCAR file:
```
TeOsRh2
1.0
-3.8726 -2.2561 1.4979
-2.6231 -3.8512 -0.7861
2.0552 -2.9766 3.2031
Rh Te Os
2 1 1
Direct
0.2576 0.2576 0.7282 Rh
0.7424 0.7424 0.2718 Rh
0.5000 0.5000 0.0000 Te
0.0000 0.0000 0.5000 Os
```


No. 16
A plane-wave DFT calculation with PBE was carried out for a relaxed structure of TeOsRh2.

Output
The total energy is -27.7 eV per cell.

POSCAR file:
```
TeOsRh2
1.0
2.6159 -0.3148 3.9170
-1.9005 -3.6572 2.3017
1.4768 0.1697 -4.4805
Rh Os Te
2 1 1
Direct
0.0000 0.0000 0.0000 Rh
0.2500 0.7500 0.5000 Rh
0.7500 0.2500 0.5000 Os
0.5000 0.5000 0.0000 Te
```


No. 17
A plane-wave DFT calculation with PBE was carried out for a relaxed structure of TeOs2Rh.

Output
The total energy is -31.0 eV per cell.

POSCAR file:
```
TeOs2Rh
1.0
3.8061 0.0000 0.0000
0.0000 2.9233 -0.1314
0.0000 0.2752 5.8975
Os Te Rh
2 1 1
Direct
0.0000 0.0013 0.0413 Os
0.5000 0.5006 0.2347 Os
0.5000 0.4980 0.7347 Te
0.0000 0.0002 0.4893 Rh
```


No. 18
A plane-wave DFT calculation with PBE was carried out for a relaxed structure of TeOsRh2.

Output
The total energy is -27.8 eV per cell.

POSCAR file:
```
TeOsRh2
1.0
-0.9071 -2.7668 0.1840
3.1666 -1.2339 -2.9422
3.1411 -0.7831 3.7091
Te Os Rh
1 1 2
Direct
0.5000 0.0000 0.5325 Te
0.5000 0.5000 0.1879 Os
0.0000 0.0000 0.0555 Rh
0.0000 0.5000 0.7241 Rh
```


No. 19
A plane-wave DFT calculation with PBE was carried out for a relaxed structure of TeOsRh2.

Output
The total energy is -52.7 eV per cell.

POSCAR file:
```
TeOsRh2
1.0
-2.8414 0.8065 -4.9280
1.5716 -5.2374 -1.7632
-5.3559 -4.4266 -0.9855
Rh Te Os
4 2 2
Direct
0.8750 0.9058 0.7500 Rh
0.3750 0.3442 0.7500 Rh
0.6558 0.1250 0.2500 Rh
0.0942 0.6250 0.2500 Rh
0.2500 0.7500 0.5000 Te
0.5000 0.5000 0.0000 Te
0.7500 0.2500 0.5000 Os
0.0000 0.0000 0.0000 Os
```


No. 20
A plane-wave DFT calculation with PBE was carried out for a relaxed structure of Te8OsRh2.

Output
The total energy is -51.5 eV per cell.

POSCAR file:
```
Te8OsRh2
1.0
-0.7343 5.5010 -0.4094
-5.4889 -1.1308 -5.3585
-1.9139 0.3025 7.5115
Te Os Rh
8 1 2
Direct
0.2231 0.6668 0.3334 Te
0.2832 0.7030 0.7557 Te
0.2831 0.2445 0.9475 Te
0.7169 0.7555 0.0524 Te
0.7769 0.3332 0.6666 Te
0.2832 0.0527 0.2968 Te
0.7168 0.2970 0.2443 Te
0.7168 0.9473 0.7031 Te
0.0000 0.0000 0.0000 Os
0.2489 0.3331 0.6666 Rh
0.7511 0.6669 0.3334 Rh
```


No. 21
A plane-wave DFT calculation with PBE was carried out for a relaxed structure of TeOsRh2.

Output
The total energy is -26.0 eV per cell.

POSCAR file:
```
TeOsRh2
1.0
1.4389 -2.4844 0.0000
1.4389 2.4844 0.0000
0.0000 0.0000 9.4326
Rh Te Os
2 1 1
Direct
0.5000 0.5000 0.7584 Rh
0.0000 0.0000 0.0028 Rh
0.0000 0.0000 0.5059 Te
0.5000 0.5000 0.2329 Os
```


No. 22
A plane-wave DFT calculation with PBE was carried out for a relaxed structure of TeOs2Rh.

Output
The total energy is -30.0 eV per cell.

POSCAR file:
```
TeOs2Rh
1.0
4.8080 -2.1930 1.4219
0.4125 -2.5836 4.8065
-2.2969 0.3289 -4.9562
Te Os Rh
1 2 1
Direct
0.7554 0.2554 0.5000 Te
0.9986 0.9986 0.0000 Os
0.2312 0.7312 0.5000 Os
0.5147 0.5147 0.0000 Rh
```


No. 23
A plane-wave DFT calculation with PBE was carried out for a relaxed structure of TeOs2Rh.

Output
The total energy is -30.5 eV per cell.

POSCAR file:
```
TeOs2Rh
1.0
4.7275 -0.8703 -0.1538
1.7899 1.2810 4.2762
-3.7151 -2.8588 -1.0753
Os Rh Te
2 1 1
Direct
0.2500 0.7500 0.5000 Os
0.0000 0.0000 0.0000 Os
0.5000 0.5000 0.0000 Rh
0.7500 0.2500 0.5000 Te
```


No. 24
A plane-wave DFT calculation with PBE was carried out for a relaxed structure of Te4OsRh.

Output
The excess energy over the best structure of this formula in the dataset comes out at 1899 meV per atom.

POSCAR file:
```
Te4OsRh
1.0
0.0000 4.2693 4.2693
4.2693 0.0000 4.2693
4.2693 4.2693 0.0000
Te Rh Os
4 1 1
Direct
0.8748 0.3751 0.3751 Te
0.3751 0.3751 0.3751 Te
0.3751 0.8748 0.3751 Te
0.3751 0.3751 0.8748 Te
0.0000 0.0000 0.0000 Rh
0.7500 0.7500 0.7500 Os
```


No. 25
A plane-wave DFT calculation with PBE was carried out for a relaxed structure of TeOs2Rh.

Output
The total energy is -29.7 eV per cell.

POSCAR file:
```
TeOs2Rh
1.0
0.0000 3.1968 3.1968
3.1968 0.0000 3.1968
3.1968 3.1968 0.0000
Os Te Rh
2 1 1
Direct
0.2500 0.2500 0.2500 Os
0.0000 0.0000 0.0000 Os
0.7500 0.7500 0.7500 Te
0.5000 0.5000 0.5000 Rh
```


No. 26
A plane-wave DFT calculation with PBE was carried out for a relaxed structure of TeOs2Rh.

Output
The total energy is -30.6 eV per cell.

POSCAR file:
```
TeOs2Rh
1.0
0.6562 7.7310 4.4926
-1.7400 6.6364 5.7718
0.9161 5.8558 6.7270
Te Rh Os
1 1 2
Direct
0.2492 0.2492 0.2492 Te
0.4988 0.4988 0.4988 Rh
0.7477 0.7477 0.7477 Os
0.0044 0.0044 0.0044 Os
```


No. 27
A plane-wave DFT calculation with PBE was carried out for a relaxed structure of TeOsRh2.

Output
The total energy is -27.3 eV per cell.

POSCAR file:
```
TeOsRh2
1.0
-1.5060 2.2784 4.7494
1.5060 -2.2784 4.7494
1.5060 2.2784 -4.7494
Rh Os Te
2 1 1
Direct
0.7266 0.2266 0.5000 Rh
0.0105 0.0105 0.0000 Rh
0.2683 0.7683 0.5000 Os
0.4946 0.4946 0.0000 Te
```


No. 28
A plane-wave DFT calculation with PBE was carried out for a relaxed structure of TeOsRh2.

Output
The total energy is -27.5 eV per cell.

POSCAR file:
```
TeOsRh2
1.0
3.0156 0.0000 0.0000
0.0000 4.6921 0.0037
0.0000 1.3494 4.5259
Rh Os Te
2 1 1
Direct
0.0000 0.0000 0.0000 Rh
0.5000 0.5000 0.0000 Rh
0.0000 0.5000 0.5000 Os
0.5000 0.0000 0.5000 Te
```


No. 29
A plane-wave DFT calculation with PBE was carried out for a relaxed structure of TeOs2Rh.

Output
The total energy is -30.5 eV per cell.

POSCAR file:
```
TeOs2Rh
1.0
2.9279 0.0000 0.0000
0.0000 4.7846 0.0049
0.0000 1.4721 4.5797
Te Os Rh
1 2 1
Direct
0.0000 0.5000 0.5000 Te
0.0000 0.0000 0.0000 Os
0.5000 0.5000 0.0000 Os
0.5000 0.0000 0.5000 Rh
```